# 1
Here is crystalline FeHgP2O8 at its relaxed geometry from the Alexandria database. Energies are from PBE+U.

Cell: 4.6608 4.6608 7.8547 Å, 72.74 72.74 60.00°
Positions (direct):
Fe: 0.0000 0.0000 0.0000
Hg: 0.5000 0.5000 0.5000
P: 0.2600 0.2600 0.2200
P: 0.7400 0.7400 0.7800
O: 0.1896 0.1896 0.4314
O: 0.6086 0.2590 0.1552
O: 0.8104 0.8104 0.5686
O: 0.9772 0.6086 0.1552
O: 0.0228 0.3914 0.8448
O: 0.2590 0.9772 0.1552
O: 0.7410 0.0228 0.8448
O: 0.3914 0.7410 0.8448

Calculated total energy   -6.070 eV/atom
Magnetic moment   2.00 μB per cell
DOS(E_F)   2.53 states/eV per cell

# 2
Here is crystalline FeHgPO2 at its relaxed geometry from the Alexandria database. Energies are from PBE+U.

Cell: 4.1365 4.1365 5.1031 Å, 90.00 90.00 90.00°
Positions (direct):
P: 0.0000 0.0000 0.5000
Hg: 0.0000 0.0000 0.0000
O: 0.0000 0.5000 0.0000
O: 0.5000 0.0000 0.0000
Fe: 0.5000 0.5000 0.5000

Calculated total energy   -3.451 eV/atom
Magnetic moment   4.41 μB per cell
DOS(E_F)   4.27 states/eV per cell

# 3
Here is crystalline PaFeHg2O6 at its relaxed geometry from the Alexandria database. Energies are from PBE+U.

Cell: 5.6067 5.6067 5.8119 Å, 61.16 61.16 60.00°
Positions (direct):
Pa: 0.8162 0.8162 0.5515
Fe: 0.3162 0.3162 0.0515
Hg: 0.5732 0.5732 0.2806
Hg: 0.0592 0.0592 0.8225
O: 0.5547 0.1760 0.2853
O: 0.1760 0.9840 0.2854
O: 0.9841 0.5548 0.2852
O: 0.4563 0.6483 0.8176
O: 0.6482 0.0775 0.8178
O: 0.0776 0.4563 0.8178

Calculated total energy   -6.044 eV/atom
Magnetic moment   1.02 μB per cell

Question: Which of these has the lowest magnetic moment?
Answer: PaFeHg2O6